DFT (PBE) results for a relaxed structure of AcLaTe2.

Results
Total energy = -5.36 eV per atom
Formation energy (no corrections) = -590 kJ/mol of formula units
N(E_F) = 0.592 states/eV/atom
Excess energy over the best structure of this formula in the dataset = 5 meV/atom
Total magnetic moment = 0.00 μB/atom

Cell lengths 4.5661, 4.5661, 15.8541 Å; angles 90.00, 90.00, 120.00 degrees
Positions (direct):
Ac (0.3333, 0.6667, 0.2500)
Ac (0.6667, 0.3333, 0.7500)
La (0.0000, 0.0000, 0.0000)
La (0.0000, 0.0000, 0.5000)
Te (0.3333, 0.6667, 0.6190)
Te (0.3333, 0.6667, 0.8810)
Te (0.6667, 0.3333, 0.1190)
Te (0.6667, 0.3333, 0.3810)


DFT (PBE) results for a relaxed structure of AcLaTe3.

Results
Total energy = -5.26 eV per atom
Formation energy (no corrections) = -757 kJ/mol of formula units
Excess energy over the best structure of this formula in the dataset = 43 meV/atom
Total magnetic moment = 0.00 μB/atom

Cell lengths 7.8138, 7.8138, 11.2774 Å; angles 90.00, 90.00, 146.08 degrees
Positions (direct):
Ac (0.2502, 0.7498, 0.7500)
Ac (0.7498, 0.2502, 0.2500)
La (0.0000, 0.0000, 0.0000)
La (0.0000, 0.0000, 0.5000)
Te (0.0915, 0.9085, 0.2500)
Te (0.3537, 0.6463, 0.0647)
Te (0.3537, 0.6463, 0.4353)
Te (0.6463, 0.3537, 0.5647)
Te (0.6463, 0.3537, 0.9353)
Te (0.9085, 0.0915, 0.7500)


DFT (PBE) results for a relaxed structure of AcLaTe.

Results
Total energy = -4.91 eV per atom
Formation energy (no corrections) = -248 kJ/mol of formula units
N(E_F) = 0.986 states/eV/atom
Excess energy over the best structure of this formula in the dataset = 0 meV/atom
Total magnetic moment = 0.00 μB/atom

Cell lengths 4.2748, 9.2042, 9.2042 Å; angles 118.32, 90.00, 90.00 degrees
Positions (direct):
Ac (0.0000, 0.0000, 0.0000)
Ac (0.0000, 0.3063, 0.5546)
Ac (0.0000, 0.5546, 0.3063)
La (0.5000, 0.2851, 0.8791)
La (0.5000, 0.7127, 0.7127)
La (0.5000, 0.8791, 0.2851)
Te (0.0000, 0.6116, 0.9620)
Te (0.0000, 0.9620, 0.6116)
Te (0.5000, 0.2553, 0.2553)